Entry from OQMD: crystalline CuPbSF at its relaxed geometry (GGA-PBE).

Energy above the lowest structure with this stoichiometry = 0.098 eV/atom
SG = P2_12_12_1
Raw total energy = -4.32 eV per atom

Structure (POSCAR):
```
CuPbSF
1.0
-3.5600 -4.1478 3.3405
-0.2595 -4.0473 -5.3020
6.0620 -3.3701 2.2758
Pb S Cu F
4 4 4 4
Cartesian
-0.8217 -2.1773 1.6497
1.9434 -8.8213 2.4890
0.1597 -5.7299 0.1114
3.2036 -6.4019 -3.6216
1.4164 -5.4790 2.7615
-2.4620 -7.3217 -1.3432
1.6272 -3.2804 -0.4263
3.9034 -7.0493 -0.3636
1.5165 -3.4824 -2.5734
2.2983 -8.1233 -1.3605
-2.2342 -5.2943 3.1953
2.9045 -6.2304 1.3670
0.9146 -5.9450 -2.2735
-1.7317 -4.3816 0.8648
4.7198 -4.4424 1.5226
0.5823 -8.3613 0.5145
```



Entry from OQMD: crystalline CuPbSF at its relaxed geometry (GGA-PBE).

Energy above the lowest structure with this stoichiometry = 0.451 eV/atom
SG = R-3m
Raw total energy = -3.96 eV per atom

Structure (POSCAR):
```
CuPbSF
1.0
1.8740 1.0819 11.7937
-1.8740 1.0819 11.7937
0.0000 -2.1639 11.7937
S F Pb Cu
2 2 2 2
Cartesian
0.0000 0.0000 2.7773
0.0000 0.0000 32.6038
0.0000 0.0000 24.3821
0.0000 0.0000 10.9991
0.0000 0.0000 7.3442
0.0000 0.0000 28.0369
0.0000 0.0000 22.2113
0.0000 0.0000 13.1698
```



Entry from OQMD: crystalline CuPbSF at its relaxed geometry (GGA-PBE).

Energy above the lowest structure with this stoichiometry = 0.376 eV/atom
SG = P4/nmm
Raw total energy = -4.04 eV per atom

Structure (POSCAR):
```
CuPbSF
1.0
3.5412 0.0000 0.0000
0.0000 3.5412 0.0000
0.0000 0.0000 11.6428
S Cu F Pb
2 2 2 2
Cartesian
0.0000 1.7706 7.0334
1.7706 0.0000 4.6094
1.7706 0.0000 6.9997
0.0000 1.7706 4.6431
0.0000 0.0000 0.0000
1.7706 1.7706 0.0000
1.7706 0.0000 1.7448
0.0000 1.7706 9.8979
```



Entry from OQMD: crystalline CuPbSeF at its relaxed geometry (GGA-PBE).

Energy above the lowest structure with this stoichiometry = 0.577 eV/atom
SG = Cmme
Raw total energy = -3.66 eV per atom

Structure (POSCAR):
```
CuPbSeF
1.0
3.2176 -3.2214 0.0000
3.2176 3.2214 0.0000
0.0000 0.0000 9.1606
F Cu Se Pb
2 2 2 2
Cartesian
1.6088 0.0000 4.5803
4.8264 0.0000 4.5803
3.2176 -1.6107 4.3372
3.2176 1.6107 4.8234
3.2176 1.6107 7.1593
3.2176 -1.6107 2.0013
1.6088 0.0000 0.0000
4.8264 0.0000 0.0000
```



Entry from OQMD: crystalline CuPbSeF at its relaxed geometry (GGA-PBE).

Energy above the lowest structure with this stoichiometry = 0.040 eV/atom
SG = R-3m
Raw total energy = -4.20 eV per atom

Structure (POSCAR):
```
CuPbSeF
1.0
-6.6230 6.5355 5.7446
-5.1745 4.0973 8.7186
-3.0028 7.3671 7.5024
Cu F Se Pb
2 2 2 2
Cartesian
-2.8737 3.4950 4.2649
-11.9267 14.5050 17.7006
-10.2643 12.4832 15.2334
-4.5361 5.5167 6.7321
-1.7219 2.0941 2.5555
-13.0785 15.9058 19.4100
-9.0432 10.9982 13.4212
-5.7572 7.0018 8.5443
```



Entry from OQMD: crystalline CuPbSeF at its relaxed geometry (GGA-PBE).

Energy above the lowest structure with this stoichiometry = 0.447 eV/atom
SG = R-3m
Raw total energy = -3.79 eV per atom

Structure (POSCAR):
```
CuPbSeF
1.0
-3.8246 -8.9309 6.1095
-0.0844 -10.0788 5.4887
-0.9375 -7.6524 8.5016
Cu Pb Se F
2 2 2 2
Cartesian
-3.0438 -16.7449 12.6234
-1.8027 -9.9173 7.4763
-0.9980 -5.4906 4.1392
-3.8484 -21.1715 15.9605
-4.4758 -24.6229 18.5624
-0.3707 -2.0393 1.5373
-1.5116 -8.3160 6.2692
-3.3348 -18.3461 13.8305
```



Entry from OQMD: crystalline CuPbSeF at its relaxed geometry (GGA-PBE).

Energy above the lowest structure with this stoichiometry = 0.070 eV/atom
SG = P2_12_12_1
Raw total energy = -4.17 eV per atom

Structure (POSCAR):
```
CuPbSeF
1.0
6.3010 0.0000 0.0000
0.0000 6.9607 0.0000
0.0000 0.0000 7.1527
Pb Cu F Se
4 4 4 4
Cartesian
3.8303 0.7647 2.4162
2.4707 4.2450 1.1601
5.6212 6.1960 5.9926
0.6798 2.7157 4.7364
2.4239 0.7980 6.1966
0.7266 6.1627 2.6203
3.8771 4.2783 4.5324
5.5744 2.6824 0.9560
0.6347 4.2946 6.6986
2.5158 2.6661 3.1223
5.6663 0.8142 4.0304
3.7852 6.1465 0.4540
2.3488 6.1442 4.4192
3.9523 2.6638 6.3098
0.8018 0.8165 0.8428
5.4993 4.2969 2.7335
```



Entry from OQMD: crystalline CuPbSeF at its relaxed geometry (GGA-PBE).

Energy above the lowest structure with this stoichiometry = 0.247 eV/atom
SG = Pbam
Raw total energy = -3.99 eV per atom

Structure (POSCAR):
```
CuPbSeF
1.0
-1.2870 9.4088 0.4265
-15.9424 -1.7849 -8.7295
-1.8579 -0.4118 3.4773
Se F Cu Pb
8 8 8 8
Cartesian
-0.5036 2.8926 0.0734
-13.2932 5.9630 -6.3966
-16.7258 4.7312 -8.3764
-3.9361 1.6608 -1.9064
-8.3237 0.8955 -4.3414
-5.2448 6.2907 -2.0574
-8.9057 6.7284 -3.9616
-11.9846 1.3331 -6.2456
-8.1073 3.9984 -1.5989
-6.7705 -0.8179 -1.4550
-2.4277 -0.1421 0.9454
-16.6596 7.3542 -5.7711
-12.3168 8.0300 -3.3707
-15.3738 2.9112 -5.6103
-10.9800 3.2137 -3.2268
-3.7134 4.3008 0.7845
-7.2037 5.2685 -3.2251
-10.2183 -0.0682 -5.4678
-1.7609 1.1014 -0.8104
-10.0257 2.3554 -5.0779
-14.6287 4.2145 -7.3171
-2.6007 3.4094 -0.9858
-15.4685 6.5224 -7.4926
-7.0111 7.6920 -2.8352
-13.2327 3.2007 -4.4320
-13.1843 -1.5704 -4.9711
-5.9029 8.7825 0.1454
-3.3585 6.7488 1.2640
-15.7288 0.4633 -6.0898
-11.3130 5.7341 -3.1063
-5.8546 4.0114 -0.3938
-7.7743 1.4779 -1.7195
```



Entry from OQMD: crystalline CuPbSeF at its relaxed geometry (GGA-PBE).

Energy above the lowest structure with this stoichiometry = 0.192 eV/atom
SG = P2_12_12_1
Raw total energy = -4.05 eV per atom

Structure (POSCAR):
```
CuPbSeF
1.0
6.4569 0.0000 0.0000
0.0000 7.0661 0.0000
0.0000 0.0000 7.3320
F Se Pb Cu
4 4 4 4
Cartesian
1.5764 4.8373 7.0557
1.6520 1.3043 0.2763
4.8049 2.2288 3.9423
4.8805 5.7618 3.3897
1.4759 3.3788 2.9723
1.7526 6.9119 4.3597
4.9810 0.1542 6.6383
4.7044 3.6872 0.6937
6.2756 4.8942 5.2945
3.0472 2.1719 5.7035
3.4097 1.3612 2.0375
0.1813 5.7049 1.6285
3.0221 5.0428 3.3825
0.2063 1.5097 3.9495
6.2506 2.0233 0.2835
3.4348 5.5563 7.0485
```



Entry from OQMD: crystalline CuPbSeF at its relaxed geometry (GGA-PBE).

Energy above the lowest structure with this stoichiometry = 0.000 eV/atom
SG = Cmme
Raw total energy = -4.24 eV per atom

Structure (POSCAR):
```
CuPbSeF
1.0
-3.2920 -2.2926 0.6899
2.3425 -2.7840 1.8253
-1.2173 4.0998 7.8155
Se Cu F Pb
2 2 2 2
Cartesian
0.7302 -1.9753 2.8490
-2.8970 0.9984 7.4817
-0.7122 -3.8075 1.8864
-0.2374 -1.2692 0.6288
-1.3208 -1.7576 5.7941
-0.8460 0.7807 4.5366
-2.2821 -1.0728 3.5334
0.1152 0.0959 6.7974
```



Entry from OQMD: crystalline CuPbSeF at its relaxed geometry (GGA-PBE).

Energy above the lowest structure with this stoichiometry = 0.349 eV/atom
SG = P4/nmm
Raw total energy = -3.89 eV per atom

Structure (POSCAR):
```
CuPbSeF
1.0
-0.0999 -2.2033 2.9495
-0.9615 -2.8326 -2.1485
11.3216 -2.6388 -1.5877
F Se Pb Cu
2 2 2 2
Cartesian
-0.5307 -2.5180 0.4005
0.0000 0.0000 0.0000
4.4214 -2.1438 0.8477
6.3695 -3.0130 -2.0349
1.5888 -1.4836 1.2450
9.2021 -3.6732 -2.4322
3.9362 -2.4458 -1.6937
6.8547 -2.7110 0.5065
```



Entry from OQMD: crystalline CuPbSeF at its relaxed geometry (GGA-PBE).

Energy above the lowest structure with this stoichiometry = 0.201 eV/atom
SG = Pbam
Raw total energy = -4.04 eV per atom

Structure (POSCAR):
```
CuPbSeF
1.0
-6.2884 -6.6877 -2.0036
12.1647 -8.9195 -8.4077
1.0268 -2.0678 3.6792
Se F Cu Pb
8 8 8 8
Cartesian
2.1552 -7.7523 -2.3944
7.3603 -12.8295 -6.7004
-0.6129 -10.3807 -3.0990
7.5159 -7.2943 -3.6330
-4.3288 -8.6474 -1.0879
11.2319 -9.0276 -5.6442
-0.4573 -4.8455 -0.0316
4.7478 -9.9226 -4.3376
-4.7691 -5.1552 -1.5663
4.3648 -6.2031 -4.7043
1.5115 -9.4041 -5.7070
1.9556 -4.1420 -2.8736
10.6453 -10.4520 -8.8450
-2.0319 -6.8675 -3.2925
7.9082 -8.7397 -7.1188
3.9206 -11.4652 -7.5377
0.6237 -1.2644 -0.8847
5.2526 -14.3428 -9.5266
4.4602 -8.1125 -5.8040
-0.0860 -3.6948 -2.0525
7.0352 -7.0498 -5.9254
5.9622 -11.9123 -8.3587
1.4160 -7.4947 -4.6073
-1.1589 -8.5574 -4.4859
2.6995 -4.2686 -0.5884
-3.4150 -6.1134 0.0812
4.8079 -6.4933 -2.4271
10.3180 -11.5616 -6.8132
-0.5511 -7.5345 -1.5167
7.4541 -10.1404 -5.2153
2.0951 -11.1817 -4.3049
4.2035 -13.4063 -6.1436
```



Entry from OQMD: crystalline Cu2PdF8 at its relaxed geometry (GGA-PBE).

SG = I-4
Raw total energy = -3.69 eV per atom

Structure (POSCAR):
```
Cu2PdF8
1.0
3.4044 -1.1831 5.0254
2.0388 4.9899 3.0312
-5.4666 -1.9105 -2.1704
F Cu Pd
8 2 1
Cartesian
4.0781 0.7787 6.0567
-2.1084 -0.6967 -0.6598
1.9073 2.2051 5.4260
-3.4200 1.0713 0.8143
2.6001 0.2680 3.8930
0.1435 1.2352 3.6724
-1.1343 0.2483 1.6391
-2.1601 2.4755 2.7031
1.7088 1.1951 2.5292
3.7344 2.6117 5.5274
0.0000 0.0000 0.0000
```



Entry from OQMD: crystalline CuTe2Pd2F2 at its relaxed geometry (GGA-PBE).

SG = P-4m2
Raw total energy = -3.88 eV per atom

Structure (POSCAR):
```
CuTe2Pd2F2
1.0
-2.6217 -2.2160 1.0885
-0.9719 -0.5332 -3.4263
5.7928 -7.1163 -0.5358
Te Pd F Cu
2 2 2 1
Cartesian
4.0873 -5.8847 -2.1362
-0.0913 -2.6062 0.4315
2.5649 -5.8693 0.1858
1.4311 -2.6216 -1.8905
2.8964 -3.5581 -0.2679
1.0996 -4.9327 -1.4368
-1.7968 -1.3746 -1.1689
```



Entry from OQMD: crystalline Tl2CuPdF6 at its relaxed geometry (GGA-PBE).

Energy above the lowest structure with this stoichiometry = 0.000 eV/atom
SG = I4/m
Raw total energy = -4.01 eV per atom

Structure (POSCAR):
```
Tl2CuPdF6
1.0
1.9642 -2.4205 4.9895
-4.2427 2.6832 3.0679
-1.3452 -3.3775 -4.6255
Cu F Tl Pd
1 6 2 1
Cartesian
-1.1393 0.1313 4.0287
-2.6951 1.3617 3.5486
-0.9286 -4.4765 -0.1167
-0.6036 0.0696 2.1343
-2.3377 -1.4956 3.7428
-1.6750 0.1931 5.9231
-1.2861 -1.6192 -0.3109
-0.2601 -2.8333 2.1964
-3.3636 -0.2815 1.2356
0.0000 0.0000 0.0000
```



Entry from OQMD: crystalline Tl2CuPdF6 at its relaxed geometry (GGA-PBE).

Energy above the lowest structure with this stoichiometry = 0.021 eV/atom
SG = Fm-3m
Raw total energy = -3.99 eV per atom

Structure (POSCAR):
```
Tl2CuPdF6
1.0
0.0000 4.1076 4.1076
4.1076 0.0000 4.1076
4.1076 4.1076 0.0000
Cu Tl F Pd
1 2 6 1
Cartesian
4.1076 4.1076 4.1076
2.0538 2.0538 2.0538
6.1614 6.1614 6.1614
6.1008 4.1076 4.1076
4.1076 4.1076 2.1143
2.1143 4.1076 4.1076
4.1076 4.1076 6.1008
4.1076 6.1008 4.1076
4.1076 2.1143 4.1076
0.0000 0.0000 0.0000
```



Entry from OQMD: crystalline Cu2Te2PtF2 at its relaxed geometry (GGA-PBE).

Size of the total moment = 0.05 μB per formula unit
SG = P-4m2
Raw total energy = -3.87 eV per atom

Structure (POSCAR):
```
Cu2Te2PtF2
1.0
2.1424 2.8810 -0.2937
-2.8536 2.1624 0.3970
1.2476 -0.0088 9.0152
Cu F Pt Te
2 2 1 2
Cartesian
-0.9720 1.0780 3.4851
1.8640 1.4349 5.5818
0.2682 2.5173 4.5593
0.6238 -0.0044 4.5076
-0.3556 2.5217 0.0517
1.3328 1.4387 1.7432
-0.4408 1.0743 7.3236
```



Entry from OQMD: crystalline Rb2CuF6 at its relaxed geometry (GGA-PBE).

SG = Fm-3m
Raw total energy = -3.77 eV per atom

Structure (POSCAR):
```
Rb2CuF6
1.0
2.3270 0.3788 5.1552
2.0726 4.9534 1.8172
-2.6661 2.8511 4.1106
F Rb Cu
6 2 1
Cartesian
2.7645 4.7581 6.3101
1.5145 4.5546 3.5409
-1.0310 3.4253 4.7729
1.6511 2.0972 5.3340
0.2190 3.6288 7.5421
0.0823 6.0861 5.7490
1.3001 6.1375 8.3122
0.4334 2.0458 2.7707
0.0000 0.0000 0.0000
```



Entry from OQMD: crystalline RbCuF3 at its relaxed geometry (GGA-PBE).

SG = Pm-3m
Raw total energy = -4.09 eV per atom

Structure (POSCAR):
```
RbCuF3
1.0
3.1667 -3.6855 2.8879
1.2839 1.0089 5.4115
-2.3290 -3.1321 4.0886
Rb F Cu
2 6 2
Cartesian
1.5912 -4.3566 9.2910
0.5304 -1.4522 3.0970
1.1723 -0.9483 5.8029
2.7553 -2.7905 7.2464
2.1135 -3.2948 4.5414
0.9493 -4.8605 6.5851
0.0081 -2.5139 7.8466
-0.6336 -3.0182 5.1416
0.0000 0.0000 0.0000
1.0608 -2.9044 6.1940
```



Entry from OQMD: crystalline Rb2CuF4 at its relaxed geometry (GGA-PBE).

Energy above the lowest structure with this stoichiometry = 0.000 eV/atom
SG = I4/mmm
Raw total energy = -4.10 eV per atom

Structure (POSCAR):
```
Rb2CuF4
1.0
-1.6455 6.0839 3.6263
-6.1769 2.7147 2.7107
4.4084 -5.7410 -0.6919
F Rb Cu
4 2 1
Cartesian
-0.8843 -1.5132 1.0094
1.3814 0.1714 1.4672
-1.1805 1.3278 0.9563
-6.6419 7.4708 5.3807
-5.0648 5.6969 4.1031
-2.7576 3.1018 2.2340
0.0000 0.0000 0.0000
```